Entry 1:
Computed, not measured: a relaxed structure of PmFeSi3Os at the PBE-GGA level of DFT.

Calculated values
For the volume, the calculation gives 18.1 A^3/atom. The energy relative to the elements, uncorrected comes out at -0.345 eV/atom. Its total magnetization is 0.0 μB per cell. The space group is Cmcm (63). The calculation puts the calculated total energy at -7.130 eV/atom.

a = 5.477 Å, b = 7.353 Å, c = 6.530 Å
α = 124.27°, β = 90.00°, γ = 90.00°
Positions (direct):
1 Pm 0.750 0.245 0.490
2 Pm 0.250 0.755 0.510
3 Fe 0.250 0.045 0.090
4 Fe 0.750 0.955 0.910
5 Si 0.250 0.238 0.476
6 Si 0.000 0.239 0.000
7 Si 0.500 0.761 0.000
8 Si 0.500 0.239 0.000
9 Si 0.000 0.761 0.000
10 Si 0.750 0.762 0.524
11 Os 0.250 0.445 0.890
12 Os 0.750 0.555 0.110

Entry 2:
Computed, not measured: a relaxed structure of Y5Ag3 at the PBE-GGA level of DFT.

Calculated values
For the volume, the calculation gives 26.2 A^3/atom. The value obtained for the formation energy is -0.1353 eV/atom. Its total magnetization is 0.0 μB per cell. The space group is Cmmm (65). The calculation puts the calculated total energy at -5.245 eV/atom. The distance to the lowest polymorph of the same formula comes out at 92 meV per atom.

a = 6.516 Å, b = 6.516 Å, c = 5.158 Å
α = 90.00°, β = 90.00°, γ = 106.80°
Positions (direct):
1 Y 0.000 0.000 0.000
2 Y 0.500 0.000 0.000
3 Y 0.000 0.500 0.000
4 Y 0.720 0.720 0.500
5 Y 0.280 0.280 0.500
6 Ag 0.500 0.500 0.000
7 Ag 0.781 0.219 0.500
8 Ag 0.219 0.781 0.500

Entry 3:
Computed, not measured: a relaxed structure of Tb2GaRh2 at the PBE-GGA level of DFT.

Calculated values
For the volume, the calculation gives 20.4 A^3/atom. The value obtained for the formation energy is -0.8722 eV/atom. Its total magnetization is 0.0 μB per cell. The space group is C2/c (15). The calculation puts the calculated total energy at -6.270 eV/atom.

a = 5.754 Å, b = 5.754 Å, c = 7.641 Å
α = 76.80°, β = 76.80°, γ = 56.46°
Positions (direct):
1 Tb 0.502 0.205 0.149
2 Tb 0.795 0.498 0.351
3 Tb 0.498 0.795 0.851
4 Tb 0.205 0.502 0.649
5 Ga 0.147 0.853 0.250
6 Ga 0.853 0.147 0.750
7 Rh 0.730 0.006 0.507
8 Rh 0.994 0.270 0.993
9 Rh 0.270 0.994 0.493
10 Rh 0.006 0.730 0.007

Entry 4:
Computed, not measured: a relaxed structure of La6PrY12 at the PBE-GGA level of DFT.

Calculated values
For the volume, the calculation gives 35.4 A^3/atom. The value obtained for the formation energy is 0.2062 eV/atom. Its total magnetization is 0.0 μB per cell. The space group is R-3m (166). The calculation puts the calculated total energy at -5.684 eV/atom.

a = 8.885 Å, b = 8.885 Å, c = 8.885 Å
α = 99.08°, β = 99.08°, γ = 99.08°
Positions (direct):
1 La 0.903 0.346 0.903
2 La 0.903 0.903 0.346
3 La 0.346 0.903 0.903
4 La 0.097 0.097 0.654
5 La 0.097 0.654 0.097
6 La 0.654 0.097 0.097
7 Pr 0.000 0.000 0.000
8 Y 0.755 0.245 0.500
9 Y 0.353 0.080 0.353
10 Y 0.353 0.353 0.080
11 Y 0.920 0.647 0.647
12 Y 0.647 0.647 0.920
13 Y 0.647 0.920 0.647
14 Y 0.500 0.755 0.245
15 Y 0.245 0.500 0.755
16 Y 0.245 0.755 0.500
17 Y 0.500 0.245 0.755
18 Y 0.755 0.500 0.245
19 Y 0.080 0.353 0.353

Entry 5:
Computed, not measured: a relaxed structure of Pr4Ho7Tm at the PBE-GGA level of DFT.

Calculated values
For the volume, the calculation gives 34.0 A^3/atom. The value obtained for the formation energy is 0.2851 eV/atom. Its total magnetization is 0.0 μB per cell. The space group is C2/m (12). The calculation puts the calculated total energy at -4.351 eV/atom. The distance to the lowest polymorph of the same formula comes out at 194 meV per atom.

a = 5.905 Å, b = 11.879 Å, c = 6.690 Å
α = 84.95°, β = 63.81°, γ = 75.61°
Positions (direct):
1 Pr 0.642 0.224 0.493
2 Pr 0.358 0.776 0.507
3 Pr 0.702 0.708 0.889
4 Pr 0.298 0.292 0.111
5 Ho 0.793 0.917 0.497
6 Ho 0.207 0.083 0.503
7 Ho 0.034 0.632 0.300
8 Ho 0.966 0.368 0.700
9 Ho 0.355 0.513 0.778
10 Ho 0.500 0.000 0.000
11 Ho 0.645 0.487 0.222
12 Tm 0.000 0.000 0.000

Entry 6:
Computed, not measured: a relaxed structure of Ba2TlN at the PBE-GGA level of DFT.

Calculated values
For the volume, the calculation gives 31.2 A^3/atom. The energy relative to the elements, uncorrected comes out at 0.426 eV/atom. Its total magnetization is 0.0 μB per cell. The space group is Fm-3m (225). The calculation puts the calculated total energy at -3.209 eV/atom.

a = 5.611 Å, b = 5.611 Å, c = 5.611 Å
α = 60.00°, β = 60.00°, γ = 60.00°
Positions (direct):
1 Tl 0.500 0.500 0.500
2 Ba 0.250 0.250 0.250
3 Ba 0.750 0.750 0.750
4 N 0.000 0.000 0.000

Entry 7:
Computed, not measured: a relaxed structure of Ca2PdPtN at the PBE-GGA level of DFT.

Calculated values
For the volume, the calculation gives 19.5 A^3/atom. The energy relative to the elements, uncorrected comes out at -0.666 eV/atom. Its total magnetization is 0.0 μB per cell. The space group is P4/mmm (123). The calculation puts the calculated total energy at -5.378 eV/atom. The distance to the lowest polymorph of the same formula comes out at 0 meV per atom.

a = 5.050 Å, b = 5.050 Å, c = 3.816 Å
α = 90.00°, β = 90.00°, γ = 90.00°
Positions (direct):
1 Ca 0.000 0.500 0.000
2 Ca 0.500 0.000 0.000
3 Pd 0.500 0.500 0.500
4 Pt 0.000 0.000 0.500
5 N 0.000 0.000 0.000

Entry 8:
Computed, not measured: a relaxed structure of LaNd5Sm2 at the PBE-GGA level of DFT.

Calculated values
For the volume, the calculation gives 35.2 A^3/atom. The value obtained for the formation energy is 0.0144 eV/atom. Its total magnetization is 0.0 μB per cell. The space group is Pbam (55). The calculation puts the calculated total energy at -4.761 eV/atom.

a = 5.200 Å, b = 7.355 Å, c = 14.714 Å
α = 90.00°, β = 90.00°, γ = 90.00°
Positions (direct):
1 La 0.000 0.000 0.500
2 La 0.000 0.500 0.000
3 Nd 0.000 0.000 0.000
4 Nd 0.000 0.500 0.500
5 Nd 0.000 0.499 0.749
6 Nd 0.000 0.501 0.251
7 Nd 0.000 0.001 0.249
8 Nd 0.000 0.999 0.751
9 Nd 0.500 0.250 0.875
10 Nd 0.500 0.750 0.125
11 Nd 0.500 0.250 0.375
12 Nd 0.500 0.750 0.625
13 Sm 0.500 0.250 0.626
14 Sm 0.500 0.750 0.374
15 Sm 0.500 0.250 0.126
16 Sm 0.500 0.750 0.874